# 1
Entry from Alexandria: a PBEsol-optimized structure of Na8Al6Si6O25 (SCAN).

space-group type	R3 (146)
uncorrected formation energy	-2.8815	eV/atom
D(E_F)	0.000	states/eV/atom

abc: 8.870 8.870 8.870
angles: 90.37 90.37 90.37
Atoms (fractional coordinates):
Na 0.000 0.000 0.000
Na 0.027 0.027 0.340
Na 0.027 0.340 0.027
Na 0.309 0.309 0.309
Na 0.340 0.027 0.027
Na 0.484 0.486 0.869
Na 0.486 0.869 0.484
Na 0.869 0.484 0.486
Al 0.175 0.682 0.930
Al 0.179 0.677 0.430
Al 0.430 0.179 0.677
Al 0.677 0.430 0.179
Al 0.682 0.930 0.175
Al 0.930 0.175 0.682
Si 0.178 0.428 0.677
Si 0.180 0.930 0.683
Si 0.428 0.677 0.178
Si 0.677 0.178 0.428
Si 0.683 0.180 0.930
Si 0.930 0.683 0.180
O 0.031 0.748 0.322
O 0.034 0.610 0.047
O 0.040 0.328 0.746
O 0.047 0.034 0.610
O 0.111 0.525 0.536
O 0.113 0.837 0.827
O 0.153 0.153 0.153
O 0.242 0.537 0.813
O 0.246 0.821 0.550
O 0.319 0.329 0.615
O 0.322 0.031 0.748
O 0.328 0.746 0.040
O 0.329 0.615 0.319
O 0.525 0.536 0.111
O 0.536 0.111 0.525
O 0.537 0.813 0.242
O 0.550 0.246 0.821
O 0.610 0.047 0.034
O 0.615 0.319 0.329
O 0.746 0.040 0.328
O 0.748 0.322 0.031
O 0.813 0.242 0.537
O 0.821 0.550 0.246
O 0.827 0.113 0.837
O 0.837 0.827 0.113

---

# 2
Entry from Alexandria: a PBEsol-optimized structure of ScTlCd2 (SCAN).

space-group type	C2/m (12)
E above lowest polymorph	62	meV/atom
D(E_F)	0.599	states/eV/atom

abc: 6.222 6.222 3.088
angles: 103.36 103.36 122.18
Atoms (fractional coordinates):
Sc 0.000 0.000 0.000
Tl 0.500 0.500 0.000
Cd 0.000 0.500 0.500
Cd 0.500 0.000 0.500

---

# 3
Entry from Alexandria: a PBEsol-optimized structure of CaCoMo3 (SCAN).

space-group type	Pm-3m (221)
D(E_F)	1.086	states/eV/atom
energy	-23.3435	eV/atom

abc: 4.422 4.422 4.422
angles: 90.00 90.00 90.00
Atoms (fractional coordinates):
Ca 0.000 0.000 0.000
Co 0.500 0.500 0.500
Mo 0.000 0.000 0.500
Mo 0.000 0.500 0.000
Mo 0.500 0.000 0.000

---

# 4
Entry from Alexandria: a PBEsol-optimized structure of Cs2MgSe (SCAN).

space-group type	Fm-3m (225)
uncorrected formation energy	-0.5194	eV/atom

abc: 6.067 6.067 6.067
angles: 60.00 60.00 60.00
Atoms (fractional coordinates):
Cs 0.250 0.250 0.250
Cs 0.750 0.750 0.750
Mg 0.000 0.000 0.000
Se 0.500 0.500 0.500

---

# 5
Entry from Alexandria: a PBEsol-optimized structure of AlTe3 (SCAN).

space-group type	Imm2 (44)
uncorrected formation energy	0.0279	eV/atom
D(E_F)	0.529	states/eV/atom

abc: 6.229 6.229 6.229
angles: 143.50 63.35 130.15
Atoms (fractional coordinates):
Al 0.000 0.000 0.000
Te 0.332 0.653 0.679
Te 0.608 0.108 0.500
Te 0.974 0.653 0.321

---

# 6
Entry from Alexandria: a PBEsol-optimized structure of TaP3W (SCAN).

space-group type	Pm-3m (221)
D(E_F)	0.851	states/eV/atom
energy	-32.3192	eV/atom

abc: 4.592 4.592 4.592
angles: 90.00 90.00 90.00
Atoms (fractional coordinates):
Ta 0.000 0.000 0.000
P 0.000 0.500 0.500
P 0.500 0.000 0.500
P 0.500 0.500 0.000
W 0.500 0.500 0.500

---

# 7
Entry from Alexandria: a PBEsol-optimized structure of ScCuI2N (SCAN).

space-group type	P4/mmm (123)
uncorrected formation energy	0.3129	eV/atom
D(E_F)	0.406	states/eV/atom

abc: 5.507 5.507 3.601
angles: 90.00 90.00 90.00
Atoms (fractional coordinates):
Sc 0.000 0.000 0.000
Cu 0.500 0.500 0.500
I 0.000 0.500 0.500
I 0.500 0.000 0.500
N 0.500 0.500 0.000

---

# 8
Entry from Alexandria: a PBEsol-optimized structure of YTiZn2O (SCAN).

space-group type	P4/mmm (123)
uncorrected formation energy	-0.6021	eV/atom
D(E_F)	0.409	states/eV/atom

abc: 4.559 4.559 4.243
angles: 90.00 90.00 90.00
Atoms (fractional coordinates):
Y 0.000 0.000 0.000
Ti 0.500 0.500 0.000
Zn 0.000 0.500 0.500
Zn 0.500 0.000 0.500
O 0.000 0.000 0.500

---

no.,calculated volume (A^3/atom)
1,15.505
2,22.217
3,17.299
4,39.472
5,27.156
6,19.362
7,21.840
8,17.641